Entry 1:
## Dy3In3CuAg2 (PBE-GGA)

Data for an optimized crystal structure of Dy3In3CuAg2.

Values from the calculation:
For the total energy, the calculation gives -35.3 eV per formula unit.

a = 3.887 Å, b = 7.790 Å, c = 7.790 Å
α = 119.97°, β = 90.00°, γ = 90.00°
Fractional coordinates of all 9 atoms:
Dy 0.000 0.599 0.000
In 0.500 0.251 0.000
Dy 0.000 0.402 0.402
In 0.500 0.749 0.749
In 0.500 0.000 0.251
Ag 0.500 0.667 0.333
Cu 0.000 0.000 0.000
Ag 0.500 0.333 0.667
Dy 0.000 0.000 0.599



Entry 2:
## Lu2Ni3W4N3 (PBE-GGA)

Data for an optimized crystal structure of Lu2Ni3W4N3.

Values from the calculation:
For the total energy, the calculation gives -107.6 eV per formula unit.

a = 5.333 Å, b = 5.333 Å, c = 13.184 Å
α = 101.21°, β = 101.21°, γ = 60.42°
Fractional coordinates of all 24 atoms:
W 0.133 0.305 0.917
Ni 0.582 0.902 0.250
W 0.185 0.036 0.083
Ni 0.068 0.932 0.250
Ni 0.098 0.418 0.250
N 0.500 0.000 0.000
Ni 0.902 0.582 0.750
N 0.199 0.650 0.000
W 0.867 0.695 0.083
Lu 0.460 0.621 0.876
Ni 0.418 0.098 0.750
N 0.650 0.199 0.500
N 0.801 0.350 0.000
N 0.350 0.801 0.500
W 0.815 0.964 0.917
Lu 0.621 0.460 0.376
Lu 0.379 0.540 0.624
Ni 0.932 0.068 0.750
N 0.000 0.500 0.500
Lu 0.540 0.379 0.124
W 0.695 0.867 0.583
W 0.305 0.133 0.417
W 0.964 0.815 0.417
W 0.036 0.185 0.583



Entry 3:
## KW (PBE-GGA)

Data for an optimized crystal structure of KW.

Values from the calculation:
Its distance to the lowest polymorph of the same formula is 1840.7 meV/atom.

a = 5.793 Å, b = 5.793 Å, c = 5.793 Å
α = 60.00°, β = 60.00°, γ = 60.00°
Each line ends with the local moment (μB).
Fractional coordinates of all 2 atoms:
W 0.250 0.250 0.250  3.49
K 0.000 0.000 0.000  0.03



Entry 4:
## TmPb (PBE-GGA)

Data for an optimized crystal structure of TmPb.

Values from the calculation:
For the total energy, the calculation gives -8.8 eV per formula unit.

a = 3.571 Å, b = 3.571 Å, c = 5.102 Å
α = 90.00°, β = 90.00°, γ = 120.00°
Each line ends with the local moment (μB).
Fractional coordinates of all 2 atoms:
Tm 0.333 0.667 0.250  0.23
Pb 0.667 0.333 0.750  0.00



Entry 5:
## Mg2InIr (PBE-GGA)

Data for an optimized crystal structure of Mg2InIr.

Values from the calculation:
For the total energy, the calculation gives -15.6 eV per formula unit.

a = 4.653 Å, b = 4.653 Å, c = 4.653 Å
α = 60.00°, β = 60.00°, γ = 60.00°
Fractional coordinates of all 4 atoms:
Mg 0.750 0.750 0.750
Ir 0.250 0.250 0.250
Mg 0.000 0.000 0.000
In 0.500 0.500 0.500



Entry 6:
## Tm6SiNi2 (PBE-GGA)

Data for an optimized crystal structure of Tm6SiNi2.

Values from the calculation:
For the total energy, the calculation gives -46.3 eV per formula unit.

a = 7.521 Å, b = 7.521 Å, c = 4.202 Å
α = 90.00°, β = 90.00°, γ = 120.00°
Fractional coordinates of all 9 atoms:
Si 0.000 0.000 0.500
Tm 0.000 0.270 0.000
Tm 0.730 0.730 0.000
Tm 0.000 0.601 0.500
Tm 0.270 0.000 0.000
Ni 0.333 0.667 0.000
Ni 0.667 0.333 0.000
Tm 0.399 0.399 0.500
Tm 0.601 0.000 0.500



Entry 7:
## KLi6NbO6 (PBE-GGA)

Data for an optimized crystal structure of KLi6NbO6.

Values from the calculation:
For the total energy, the calculation gives -81.8 eV per formula unit.

a = 5.314 Å, b = 5.314 Å, c = 5.314 Å
α = 101.10°, β = 101.10°, γ = 101.10°
Fractional coordinates of all 14 atoms:
Li 0.344 0.656 0.000
O 0.915 0.274 0.274
Li 0.344 0.000 0.656
O 0.085 0.726 0.726
O 0.274 0.274 0.915
Li 0.656 0.000 0.344
K 0.500 0.500 0.500
Nb 0.000 0.000 0.000
Li 0.656 0.344 0.000
O 0.726 0.085 0.726
O 0.726 0.726 0.085
Li 0.000 0.344 0.656
O 0.274 0.915 0.274
Li 0.000 0.656 0.344



Entry 8:
## Sm4AsPO (PBE-GGA)

Data for an optimized crystal structure of Sm4AsPO.

Values from the calculation:
For the total energy, the calculation gives -44.2 eV per formula unit.

a = 8.514 Å, b = 8.514 Å, c = 8.514 Å
α = 149.15°, β = 149.15°, γ = 44.20°
Fractional coordinates of all 7 atoms:
Sm 0.504 0.004 0.500
As 0.863 0.863 0.000
P 0.135 0.135 0.000
Sm 0.004 0.504 0.500
Sm 0.675 0.675 0.000
Sm 0.321 0.321 0.000
O 0.498 0.498 0.000



Entry 9:
## HfIr2Pb (PBE-GGA)

Data for an optimized crystal structure of HfIr2Pb.

Values from the calculation:
For the total energy, the calculation gives -30.8 eV per formula unit.

a = 4.694 Å, b = 4.694 Å, c = 4.694 Å
α = 60.00°, β = 60.00°, γ = 60.00°
Fractional coordinates of all 4 atoms:
Ir 0.750 0.750 0.750
Pb 0.500 0.500 0.500
Ir 0.000 0.000 0.000
Hf 0.250 0.250 0.250



Entry 10:
## LuZnInFe (PBE-GGA)

Data for an optimized crystal structure of LuZnInFe.

Values from the calculation:
Its distance to the lowest polymorph of the same formula is 26.3 meV/atom.

a = 4.723 Å, b = 4.723 Å, c = 4.723 Å
α = 60.00°, β = 60.00°, γ = 60.00°
Fractional coordinates of all 4 atoms:
In 0.000 0.000 0.000
Zn 0.500 0.500 0.500
Lu 0.250 0.250 0.250
Fe 0.750 0.750 0.750



Entry 11:
## Sr8Si2PtO14 (PBE-GGA)

Data for an optimized crystal structure of Sr8Si2PtO14.

Values from the calculation:
For the total energy, the calculation gives -166.7 eV per formula unit.

a = 5.709 Å, b = 7.202 Å, c = 9.867 Å
α = 109.44°, β = 106.81°, γ = 90.00°
Fractional coordinates of all 25 atoms:
Sr 0.166 0.996 0.335
Sr 0.686 0.290 0.371
Sr 0.108 0.460 0.185
Sr 0.315 0.710 0.629
O 0.284 0.071 0.653
Sr 0.923 0.540 0.815
O 0.394 0.462 0.826
O 0.032 0.757 0.077
O 0.580 0.651 0.464
O 0.631 0.929 0.347
O 0.116 0.349 0.536
O 0.992 0.704 0.395
O 0.955 0.243 0.923
O 0.568 0.538 0.174
Si 0.691 0.705 0.343
Sr 0.832 0.004 0.665
O 0.318 0.144 0.162
Sr 0.520 0.799 0.045
Pt 0.997 0.000 0.000
O 0.677 0.860 0.839
O 0.838 0.140 0.161
O 0.157 0.856 0.838
O 0.597 0.296 0.605
Si 0.348 0.295 0.657
Sr 0.475 0.201 0.955



Entry 12:
## Bi2IrO6 (PBE-GGA)

Data for an optimized crystal structure of Bi2IrO6.

Values from the calculation:
For the total energy, the calculation gives -55.1 eV per formula unit.

a = 5.012 Å, b = 5.012 Å, c = 10.185 Å
α = 90.00°, β = 90.00°, γ = 90.00°
Each line ends with the local moment (μB).
Fractional coordinates of all 18 atoms:
Bi 0.500 0.500 0.833  -0.01
O 0.727 0.727 0.000  0.12
O 0.681 0.681 0.351  0.03
O 0.681 0.681 0.649  0.03
O 0.819 0.181 0.851  0.04
O 0.319 0.319 0.351  0.03
O 0.819 0.181 0.149  0.04
O 0.181 0.819 0.851  0.04
O 0.319 0.319 0.649  0.03
Bi 0.500 0.500 0.167  -0.01
Ir 0.500 0.500 0.500  0.64
Bi 0.000 0.000 0.667  0.00
O 0.227 0.773 0.500  0.13
O 0.181 0.819 0.149  0.04
O 0.773 0.227 0.500  0.13
Ir 0.000 0.000 0.000  0.63
Bi 0.000 0.000 0.333  0.00
O 0.273 0.273 0.000  0.12



Entry 13:
## LuCu2Sn (PBE-GGA)

Data for an optimized crystal structure of LuCu2Sn.

Values from the calculation:
For the total energy, the calculation gives -16.5 eV per formula unit.

a = 4.691 Å, b = 4.691 Å, c = 4.691 Å
α = 60.00°, β = 60.00°, γ = 60.00°
Fractional coordinates of all 4 atoms:
Cu 0.000 0.000 0.000
Sn 0.500 0.500 0.500
Lu 0.250 0.250 0.250
Cu 0.750 0.750 0.750



Entry 14:
## Nd3Ni (PBE-GGA)

Data for an optimized crystal structure of Nd3Ni.

Values from the calculation:
As for the energy of formation from the pure elements: 110.7 meV per atom.

a = 7.463 Å, b = 7.463 Å, c = 4.537 Å
α = 90.00°, β = 90.00°, γ = 120.00°
Fractional coordinates of all 8 atoms:
Nd 0.628 0.814 0.250
Nd 0.372 0.186 0.750
Nd 0.814 0.628 0.750
Ni 0.333 0.667 0.750
Nd 0.186 0.372 0.250
Ni 0.667 0.333 0.250
Nd 0.186 0.814 0.250
Nd 0.814 0.186 0.750



Entry 15:
## LuSiPt2 (PBE-GGA)

Data for an optimized crystal structure of LuSiPt2.

Values from the calculation:
For the total energy, the calculation gives -26.0 eV per formula unit.

a = 4.012 Å, b = 6.460 Å, c = 5.517 Å
α = 90.00°, β = 90.00°, γ = 90.00°
Fractional coordinates of all 8 atoms:
Pt 0.500 0.745 0.341
Lu 0.500 0.925 0.867
Pt 0.000 0.255 0.841
Si 0.000 0.611 0.121
Pt 0.000 0.662 0.671
Lu 0.000 0.075 0.367
Si 0.500 0.389 0.621
Pt 0.500 0.338 0.171



Entry 16:
## HoCu2SiGe (PBE-GGA)

Data for an optimized crystal structure of HoCu2SiGe.

Values from the calculation:
For the total energy, the calculation gives -24.7 eV per formula unit.

a = 5.812 Å, b = 5.812 Å, c = 5.812 Å
α = 139.74°, β = 139.74°, γ = 58.25°
Fractional coordinates of all 5 atoms:
Ho 0.998 0.998 0.000
Ge 0.615 0.615 0.000
Cu 0.754 0.254 0.500
Cu 0.254 0.754 0.500
Si 0.379 0.379 0.000



Entry 17:
## CuSbIrAu (PBE-GGA)

Data for an optimized crystal structure of CuSbIrAu.

Values from the calculation:
Its distance to the lowest polymorph of the same formula is 0.0 meV/atom.

a = 4.567 Å, b = 4.567 Å, c = 4.567 Å
α = 60.00°, β = 60.00°, γ = 60.00°
Fractional coordinates of all 4 atoms:
Cu 0.750 0.750 0.750
Sb 0.000 0.000 0.000
Au 0.500 0.500 0.500
Ir 0.250 0.250 0.250



Entry 18:
## SrBeOs (PBE-GGA)

Data for an optimized crystal structure of SrBeOs.

Values from the calculation:
Its distance to the lowest polymorph of the same formula is 138.5 meV/atom.

a = 4.450 Å, b = 4.450 Å, c = 4.450 Å
α = 60.00°, β = 60.00°, γ = 60.00°
Fractional coordinates of all 3 atoms:
Os 0.000 0.000 0.000
Be 0.250 0.250 0.250
Sr 0.750 0.750 0.750



Entry 19:
## ZnCoReOs (PBE-GGA)

Data for an optimized crystal structure of ZnCoReOs.

Values from the calculation:
Its distance to the lowest polymorph of the same formula is 0.0 meV/atom. As for the energy of formation from the pure elements: 192.4 meV per atom.

a = 4.252 Å, b = 4.252 Å, c = 4.252 Å
α = 60.00°, β = 60.00°, γ = 60.00°
Fractional coordinates of all 4 atoms:
Os 0.250 0.250 0.250
Co 0.750 0.750 0.750
Re 0.500 0.500 0.500
Zn 0.000 0.000 0.000



Entry 20:
## KCoHg (PBE-GGA)

Data for an optimized crystal structure of KCoHg.

Values from the calculation:
Its distance to the lowest polymorph of the same formula is 0.0 meV/atom.

a = 4.880 Å, b = 4.880 Å, c = 4.880 Å
α = 60.00°, β = 60.00°, γ = 60.00°
Fractional coordinates of all 3 atoms:
Hg 0.250 0.250 0.250
Co 0.000 0.000 0.000
K 0.750 0.750 0.750



Entry 21:
## InTeMoAuS2 (PBE-GGA)

Data for an optimized crystal structure of InTeMoAuS2.

Values from the calculation:
For the total energy, the calculation gives -29.3 eV per formula unit.

a = 8.119 Å, b = 8.119 Å, c = 10.400 Å
α = 90.00°, β = 90.00°, γ = 155.87°
Fractional coordinates of all 12 atoms:
Te 0.039 0.961 0.750
Te 0.961 0.039 0.250
In 0.698 0.302 0.750
Au 0.338 0.662 0.750
S 0.611 0.389 0.475
Mo 0.000 0.000 0.500
S 0.611 0.389 0.025
Au 0.662 0.338 0.250
Mo 0.000 0.000 0.000
S 0.389 0.611 0.525
In 0.302 0.698 0.250
S 0.389 0.611 0.975



Entry 22:
## HgAu15 (PBE-GGA)

Data for an optimized crystal structure of HgAu15.

Values from the calculation:
Its distance to the lowest polymorph of the same formula is 24.4 meV/atom. As for the energy of formation from the pure elements: 60.7 meV per atom.

a = 8.177 Å, b = 2.893 Å, c = 36.215 Å
α = 90.00°, β = 90.00°, γ = 90.00°
Fractional coordinates of all 32 atoms:
Au 0.125 0.250 0.144
Au 0.625 0.250 0.062
Au 0.625 0.250 0.980
Au 0.375 0.750 0.020
Au 0.125 0.250 0.062
Au 0.375 0.750 0.938
Au 0.125 0.250 0.979
Au 0.875 0.750 0.775
Au 0.375 0.750 0.856
Au 0.622 0.250 0.814
Au 0.382 0.750 0.271
Au 0.125 0.250 0.225
Au 0.618 0.250 0.729
Au 0.875 0.750 0.938
Au 0.625 0.250 0.144
Au 0.375 0.750 0.103
Au 0.375 0.750 0.772
Au 0.875 0.750 0.103
Au 0.125 0.250 0.305
Au 0.875 0.750 0.695
Au 0.378 0.750 0.186
Hg 0.375 0.750 0.677
Au 0.872 0.750 0.186
Au 0.128 0.250 0.814
Hg 0.625 0.250 0.323
Au 0.625 0.250 0.897
Au 0.875 0.750 0.856
Au 0.133 0.250 0.729
Au 0.625 0.250 0.228
Au 0.875 0.750 0.021
Au 0.125 0.250 0.897
Au 0.867 0.750 0.271



Entry 23:
## DyTmSi2Os (PBE-GGA)

Data for an optimized crystal structure of DyTmSi2Os.

Values from the calculation:
Its distance to the lowest polymorph of the same formula is 0.0 meV/atom.

a = 5.685 Å, b = 5.685 Å, c = 9.939 Å
α = 116.38°, β = 116.38°, γ = 43.51°
Fractional coordinates of all 10 atoms:
Si 0.358 0.358 0.940
Dy 0.813 0.813 0.389
Si 0.642 0.642 0.060
Si 0.496 0.496 0.625
Si 0.504 0.504 0.375
Os 0.731 0.731 0.873
Os 0.269 0.269 0.127
Dy 0.187 0.187 0.611
Tm 0.993 0.993 0.823
Tm 0.007 0.007 0.177